# 1
Density functional theory data (PBE) for an optimized crystal structure of CeY3Ho2.

Cell lengths 5.029, 10.045, 9.392 Å; angles 122.33, 105.53, 90.00 degrees
Each line ends with the local moment (μB).
Atoms (fractional coordinates):
Ce (0.000, 0.500, 0.000)  0.78
Ce (0.000, 0.000, 0.000)  0.78
Y (0.500, 0.250, 0.000)  0.06
Y (0.500, 0.750, 0.000)  0.06
Y (0.165, 0.415, 0.330)  0.01
Y (0.835, 0.085, 0.670)  0.01
Y (0.835, 0.585, 0.670)  0.01
Y (0.165, 0.915, 0.330)  0.01
Ho (0.667, 0.667, 0.334)  0.00
Ho (0.333, 0.833, 0.666)  0.00
Ho (0.667, 0.167, 0.334)  0.00
Ho (0.333, 0.333, 0.666)  0.00

Properties
magnetic moment = 2.23 μB per cell
E above lowest polymorph = 0 meV/atom



# 2
Density functional theory data (PBE) for an optimized crystal structure of Ca2SmPt.

Cell lengths 6.542, 7.642, 9.670 Å; angles 90.00, 90.00, 90.00 degrees
Atoms (fractional coordinates):
Ca (0.163, 0.674, 0.065)
Ca (0.337, 0.174, 0.435)
Ca (0.837, 0.326, 0.565)
Ca (0.663, 0.826, 0.935)
Ca (0.837, 0.326, 0.935)
Ca (0.663, 0.826, 0.565)
Ca (0.163, 0.674, 0.435)
Ca (0.337, 0.174, 0.065)
Sm (0.642, 0.540, 0.250)
Sm (0.858, 0.040, 0.250)
Sm (0.358, 0.460, 0.750)
Sm (0.142, 0.960, 0.750)
Pt (0.037, 0.377, 0.250)
Pt (0.463, 0.877, 0.250)
Pt (0.963, 0.623, 0.750)
Pt (0.537, 0.123, 0.750)

Properties
magnetic moment = 0.00 μB per cell
E above lowest polymorph = 0 meV/atom



Please write out number 1 again, unchanged.
Density functional theory data (PBE) for an optimized crystal structure of CeY3Ho2.

Cell lengths 5.029, 10.045, 9.392 Å; angles 122.33, 105.53, 90.00 degrees
Each line ends with the local moment (μB).
Atoms (fractional coordinates):
Ce (0.000, 0.500, 0.000)  0.78
Ce (0.000, 0.000, 0.000)  0.78
Y (0.500, 0.250, 0.000)  0.06
Y (0.500, 0.750, 0.000)  0.06
Y (0.165, 0.415, 0.330)  0.01
Y (0.835, 0.085, 0.670)  0.01
Y (0.835, 0.585, 0.670)  0.01
Y (0.165, 0.915, 0.330)  0.01
Ho (0.667, 0.667, 0.334)  0.00
Ho (0.333, 0.833, 0.666)  0.00
Ho (0.667, 0.167, 0.334)  0.00
Ho (0.333, 0.333, 0.666)  0.00

Properties
magnetic moment = 2.23 μB per cell
E above lowest polymorph = 0 meV/atom



> What is the magnetic moment in the second record?

0.00 μB per cell